[1]
The following is a PBE calculation of a geometry-optimized MgAs2SeO structure, from the Alexandria database.

Cell: 4.270 4.270 4.980 Å, 90.00 90.00 90.00°
Space group P4/mmm (No. 123)
Unique sites:
1 Mg 0.000 0.000 0.000 [1 per cell]
2 As 0.000 0.500 0.500 [2 per cell]
3 Se 0.500 0.500 0.000 [1 per cell]
4 O 0.500 0.500 0.500 [1 per cell]

## Properties
Magnetization: 0.0000 μB/atom
E above lowest polymorph: 0.0000 eV per atom
Energy relative to the elements, uncorrected: 0.045 eV/atom
D(E_F): 3.15 states/eV/cell

---

[2]
The following is a PBE calculation of a geometry-optimized MgAsSe2O structure, from the Alexandria database.

Cell: 4.848 4.848 5.109 Å, 90.00 90.00 90.00°
Space group P4/mmm (No. 123)
Unique sites:
1 Mg 0.000 0.000 0.000 [1 per cell]
2 As 0.000 0.000 0.500 [1 per cell]
3 Se 0.000 0.500 0.000 [2 per cell]
4 O 0.500 0.500 0.500 [1 per cell]

## Properties
Magnetization: 0.0000 μB/atom
E above lowest polymorph: 0.8469 eV per atom
Energy relative to the elements, uncorrected: 0.948 eV/atom
D(E_F): 9.53 states/eV/cell

---

[3]
The following is a PBE calculation of a geometry-optimized SmMgAs2O8 structure, from the Alexandria database.

Cell: 5.4532 5.4532 6.7525 Å, 90.00 90.00 120.00°
Space group P-3m1 (No. 164)
Unique sites:
1 Sm 0.0000 0.0000 0.0000 [1 per cell]
2 Mg 0.0000 0.0000 0.5000 [1 per cell]
3 As 0.3333 0.6667 0.2190 [2 per cell]
4 O 0.1593 0.3187 0.2893 [6 per cell]
5 O 0.3333 0.6667 0.9647 [2 per cell]

## Properties
Magnetization: 0.0828 μB/atom
Energy relative to the elements, uncorrected: -1.821 eV/atom
D(E_F): 9.00 states/eV/cell

---

[4]
The following is a PBE calculation of a geometry-optimized MgSnAsO6 structure, from the Alexandria database.

Cell: 5.1674 5.1674 8.8067 Å, 90.00 90.00 120.00°
Space group P-31c (No. 163)
Unique sites:
1 Mg 0.0000 0.0000 0.0000 [2 per cell]
2 Sn 0.3333 0.6667 0.2500 [2 per cell]
3 As 0.3333 0.6667 0.7500 [2 per cell]
4 O 0.0332 0.3669 0.6320 [12 per cell]

## Properties
Magnetization: 0.1135 μB/atom
Energy relative to the elements, uncorrected: -1.504 eV/atom
D(E_F): 6.54 states/eV/cell

---

[5]
The following is a PBE calculation of a geometry-optimized SrMgAs2O6 structure, from the Alexandria database.

Cell: 5.5205 5.5205 16.5397 Å, 90.00 90.00 120.00°
Space group R-3 (No. 148, hexagonal axes)
Unique sites:
1 Sr 0.0000 0.0000 0.0000 [3 per cell]
2 Mg 0.0000 0.0000 0.5000 [3 per cell]
3 As 0.0000 0.0000 0.2683 [6 per cell]
4 O 0.0142 0.6325 0.9054 [18 per cell]

## Properties
Magnetization: 0.1572 μB/atom
Energy relative to the elements, uncorrected: -1.709 eV/atom
D(E_F): 8.84 states/eV/cell

---

[6]
The following is a PBE calculation of a geometry-optimized Sr3MgAs2O8 structure, from the Alexandria database.

Cell: 5.6957 5.6957 7.3383 Å, 90.00 90.00 120.00°
Space group P-3m1 (No. 164)
Unique sites:
1 Sr 0.0000 0.0000 0.0000 [1 per cell]
2 Sr 0.3333 0.6667 0.6368 [2 per cell]
3 Mg 0.0000 0.0000 0.5000 [1 per cell]
4 As 0.3333 0.6667 0.2049 [2 per cell]
5 O 0.1682 0.3364 0.3245 [6 per cell]
6 O 0.3333 0.6667 0.9550 [2 per cell]

## Properties
Magnetization: 0.0682 μB/atom
Energy relative to the elements, uncorrected: -2.038 eV/atom
D(E_F): 5.23 states/eV/cell

---

[7]
The following is a PBE calculation of a geometry-optimized MgTaAsO6 structure, from the Alexandria database.

Cell: 5.0692 5.0692 9.1352 Å, 90.00 90.00 120.00°
Space group P-31c (No. 163)
Unique sites:
1 Mg 0.0000 0.0000 0.0000 [2 per cell]
2 Ta 0.3333 0.6667 0.2500 [2 per cell]
3 As 0.3333 0.6667 0.7500 [2 per cell]
4 O 0.0203 0.3679 0.6360 [12 per cell]

## Properties
Magnetization: 0.0000 μB/atom
Energy relative to the elements, uncorrected: -2.138 eV/atom
D(E_F): 0.00 states/eV/cell

---

[8]
The following is a PBE calculation of a geometry-optimized MgTiAsO5 structure, from the Alexandria database.

Cell: 7.596 8.162 7.524 Å, 90.00 119.45 90.00°
Space group C2/c (No. 15)
Unique sites:
1 Mg 0.000 0.201 0.250 [4 per cell]
2 Ti 0.000 0.500 0.000 [4 per cell]
3 As 0.000 0.152 0.750 [4 per cell]
4 O 0.000 0.455 0.250 [4 per cell]
5 O 0.007 0.257 0.527 [8 per cell]
6 O 0.192 0.002 0.348 [8 per cell]

## Properties
Magnetization: 0.0710 μB/atom
Energy relative to the elements, uncorrected: -2.123 eV/atom
D(E_F): 10.89 states/eV/cell

---

[9]
The following is a PBE calculation of a geometry-optimized MgTl3As2O6 structure, from the Alexandria database.

Cell: 5.8933 5.8933 7.0091 Å, 90.00 90.00 120.00°
Space group P-3m1 (No. 164)
Unique sites:
1 Mg 0.0000 0.0000 0.0000 [1 per cell]
2 Tl 0.0000 0.0000 0.5000 [1 per cell]
3 Tl 0.3333 0.6667 0.1853 [2 per cell]
4 As 0.3333 0.6667 0.7212 [2 per cell]
5 O 0.1758 0.3515 0.8280 [6 per cell]

## Properties
Magnetization: 0.0000 μB/atom
Energy relative to the elements, uncorrected: -1.195 eV/atom
D(E_F): 5.67 states/eV/cell

---

[10]
The following is a PBE calculation of a geometry-optimized MgTl2As2O6 structure, from the Alexandria database.

Cell: 10.222 5.849 6.795 Å, 90.00 120.28 90.00°
Space group C2/m (No. 12)
Unique sites:
1 Mg 0.000 0.000 0.000 [2 per cell]
2 Tl 0.214 0.000 0.674 [4 per cell]
3 As 0.060 0.500 0.713 [4 per cell]
4 O 0.009 0.256 0.230 [8 per cell]
5 O 0.248 0.000 0.169 [4 per cell]

## Properties
Magnetization: 0.0000 μB/atom
Energy relative to the elements, uncorrected: -1.336 eV/atom
D(E_F): 0.00 states/eV/cell

---

[11]
The following is a PBE calculation of a geometry-optimized MgTlAs2O8 structure, from the Alexandria database.

Cell: 7.037 7.037 6.301 Å, 90.00 90.00 90.00°
Space group I-4m2 (No. 119)
Unique sites:
1 Mg 0.000 0.000 0.000 [2 per cell]
2 Tl 0.000 0.500 0.750 [2 per cell]
3 As 0.000 0.000 0.500 [2 per cell]
4 As 0.000 0.500 0.250 [2 per cell]
5 O 0.000 0.178 0.687 [8 per cell]
6 O 0.000 0.311 0.075 [8 per cell]

## Properties
Magnetization: 0.0926 μB/atom
Energy relative to the elements, uncorrected: -1.153 eV/atom
D(E_F): 21.45 states/eV/cell

---

[12]
The following is a PBE calculation of a geometry-optimized MgTlAsO4 structure, from the Alexandria database.

Cell: 8.331 8.331 8.331 Å, 90.00 90.00 90.00°
Space group F-43m (No. 216)
Unique sites:
1 Mg 0.000 0.000 0.000 [4 per cell]
2 Tl 0.250 0.250 0.750 [4 per cell]
3 As 0.250 0.250 0.250 [4 per cell]
4 O 0.132 0.132 0.132 [16 per cell]

## Properties
Magnetization: 0.0000 μB/atom
Energy relative to the elements, uncorrected: -1.591 eV/atom
D(E_F): 0.00 states/eV/cell